[1]
Density functional theory data (PBE) for Hg3PdF7 after structural relaxation.

Lattice parameters (Å, degrees): 6.8985 6.8985 7.9121 90.00 90.00 109.10
Atoms (fractional coordinates):
Hg (0.0000, 0.0000, 0.0000)
Hg (0.0000, 0.0000, 0.5000)
Hg (0.0303, 0.4992, 0.7500)
Hg (0.4992, 0.0303, 0.2500)
Hg (0.5008, 0.9697, 0.7500)
Hg (0.9697, 0.5008, 0.2500)
Pd (0.5000, 0.5000, 0.0000)
Pd (0.5000, 0.5000, 0.5000)
F (0.1322, 0.8678, 0.7500)
F (0.1365, 0.8635, 0.2500)
F (0.1641, 0.4174, 0.0253)
F (0.1641, 0.4174, 0.4747)
F (0.4149, 0.5851, 0.7500)
F (0.4174, 0.1641, 0.5253)
F (0.4174, 0.1641, 0.9747)
F (0.5826, 0.8359, 0.0253)
F (0.5826, 0.8359, 0.4747)
F (0.5851, 0.4149, 0.2500)
F (0.8359, 0.5826, 0.5253)
F (0.8359, 0.5826, 0.9747)
F (0.8635, 0.1365, 0.7500)
F (0.8678, 0.1322, 0.2500)

Total DFT energy (no corrections)   -2.997 eV per atom
ΔE_f (raw)   -1.252 eV/atom
Symmetry   Cmcm

[2]
Density functional theory data (PBE) for La8HPt3I4 after structural relaxation.

Lattice parameters (Å, degrees): 8.5356 8.5356 9.5110 116.75 116.75 59.88
Atoms (fractional coordinates):
La (0.2290, 0.7354, 0.6934)
La (0.2302, 0.2302, 0.6943)
La (0.2646, 0.7710, 0.3066)
La (0.2704, 0.2704, 0.3111)
La (0.7296, 0.7296, 0.6889)
La (0.7354, 0.2290, 0.6934)
La (0.7698, 0.7698, 0.3057)
La (0.7710, 0.2646, 0.3066)
H (0.0000, 0.0000, 0.5000)
Pt (0.0000, 0.5000, 0.5000)
Pt (0.5000, 0.0000, 0.5000)
Pt (0.5000, 0.5000, 0.5000)
I (0.0000, 0.0000, 0.0000)
I (0.0000, 0.5000, 0.0000)
I (0.5000, 0.0000, 0.0000)
I (0.5000, 0.5000, 0.0000)

Total DFT energy (no corrections)   -5.231 eV per atom
Symmetry   C2/m

Question: What is the formula in the first record?
Answer: Hg3PdF7

Question: What is the total DFT energy (no corrections) in the second record?
Answer: -5.231 eV per atom

Question: The lowest total DFT energy (no corrections) belongs to which entry?
Answer: La8HPt3I4

Question: What is the formula in the second record?
Answer: La8HPt3I4